Density functional theory data (PBE) for AcTb2Lu after structural relaxation.

Calculated values
As for the energy relative to the elements: 0.063 eV per atom. The calculated density is 8.757 g cm⁻³. Its space group is P4/mmm (123).

Structure (CIF):
```
data_AcTb2Lu
_chemical_formula_sum 'Ac1 Tb2 Lu1'
_symmetry_space_group_name_H-M 'P 1'
_symmetry_Int_Tables_number 1
_cell_length_a 5.1138
_cell_length_b 5.1138
_cell_length_c 5.2197
_cell_angle_alpha 90.00
_cell_angle_beta 90.00
_cell_angle_gamma 90.00
loop_
_symmetry_equiv_pos_as_xyz
'x,y,z'
loop_
_atom_site_label
_atom_site_type_symbol
_atom_site_fract_x
_atom_site_fract_y
_atom_site_fract_z
Ac1 Ac 0.0000 0.0000 0.0000
Tb1 Tb 0.0000 0.5000 0.5000
Tb2 Tb 0.5000 0.0000 0.5000
Lu1 Lu 0.5000 0.5000 0.0000
```